# KSiPd2

A geometry-optimized KSiPd2 structure (PBE, the Alexandria database).

Values from the calculation:
The calculation puts the calculated volume at 94 Å³ per cell. The value obtained for the density of states at the Fermi level is 2.8 states/eV/cell. The space-group type is R-3m (166). The calculation puts the total energy at -18.45 eV for the cell shown. The uncorrected formation energy is -0.387 eV/atom. For the total magnetic moment, the calculation gives 0.00 μB per formula unit.

abc: 4.2193 4.2193 6.5492
angles: 71.21 71.21 60.00
Fractional positions:
Pd 0.6961 0.6961 0.9117
Pd 0.3039 0.3039 0.0883
K 0.5000 0.5000 0.5000
Si 0.0000 0.0000 0.0000

# K2Si7Pd12

A geometry-optimized K2Si7Pd12 structure (PBE, the Alexandria database).

Values from the calculation:
The calculation puts the calculated volume at 344 Å³ per cell. The value obtained for the density of states at the Fermi level is 9.8 states/eV/cell. The space-group type is P-6 (174). The calculation puts the total energy at -113.81 eV for the cell shown. The uncorrected formation energy is -0.540 eV/atom. For the total magnetic moment, the calculation gives 0.00 μB per formula unit.

abc: 3.8293 10.1779 10.1779
angles: 120.00 90.00 90.00
Fractional positions:
Pd 0.5000 0.5657 0.7690
Pd 0.0000 0.4530 0.5174
Pd 0.0000 0.9579 0.2290
Pd 0.5000 0.2033 0.4343
Pd 0.0000 0.2711 0.0421
Pd 0.0000 0.4826 0.9356
Pd 0.5000 0.2310 0.7967
Pd 0.5000 0.8969 0.6126
Pd 0.5000 0.3874 0.2843
Pd 0.5000 0.7157 0.1031
Pd 0.0000 0.7710 0.7289
Pd 0.0000 0.0644 0.5470
Si 0.0000 0.7316 0.9547
Si 0.0000 0.0453 0.7769
Si 0.5000 0.9370 0.3732
Si 0.5000 0.6268 0.5638
Si 0.5000 0.4362 0.0630
Si 0.0000 0.2231 0.2684
Si 0.0000 0.3333 0.6667
K 0.5000 0.0000 0.0000
K 0.0000 0.6667 0.3333